Record 1
# Ti2Co2Rh | Alexandria via LeMat-Bulk | PBEsol | optimized geometry
# Uncorrected energy ... -0.3108 Ha/atom
# DFT formation energy ... -196 kJ/mol of formula units
# M_tot ... 0.01 μB per formula unit
data_Ti2Co2Rh
_symmetry_space_group_name_H-M 'P 4/m b m'
_symmetry_Int_Tables_number 127
_symmetry_space_group_name_Hall '-P 4 2ab'
_cell_length_a 6.5499
_cell_length_b 6.5499
_cell_length_c 2.9884
_cell_angle_alpha 90.00
_cell_angle_beta 90.00
_cell_angle_gamma 90.00
loop_
_atom_site_label
_atom_site_type_symbol
_atom_site_fract_x
_atom_site_fract_y
_atom_site_fract_z
Ti1 Ti 0.1790 0.3210 0.0000
Co1 Co 0.1230 0.6230 0.5000
Rh1 Rh 0.0000 0.0000 0.5000



Record 2
# TlCo2Rh | Alexandria via LeMat-Bulk | PBEsol | optimized geometry
# Excess energy over the best structure of this formula in the dataset ... 55 meV per atom
# Uncorrected energy ... -0.2266 Ha/atom
# DFT formation energy ... 153 kJ/mol of formula units
# M_tot ... 3.49 μB per formula unit
data_TlCo2Rh
_symmetry_space_group_name_H-M 'F -4 3 m'
_symmetry_Int_Tables_number 216
_symmetry_space_group_name_Hall 'F -4 2 3'
_cell_length_a 6.0715
_cell_length_b 6.0715
_cell_length_c 6.0715
_cell_angle_alpha 90.00
_cell_angle_beta 90.00
_cell_angle_gamma 90.00
loop_
_atom_site_label
_atom_site_type_symbol
_atom_site_fract_x
_atom_site_fract_y
_atom_site_fract_z
Tl1 Tl 0.0000 0.0000 0.0000
Co1 Co 0.0000 0.0000 0.5000
Co2 Co 0.2500 0.2500 0.7500
Rh1 Rh 0.2500 0.2500 0.2500



Record 3
# TlCoRh2 | Alexandria via LeMat-Bulk | PBEsol | optimized geometry
# Uncorrected energy ... -0.2346 Ha/atom
# DFT formation energy ... 107 kJ/mol of formula units
# M_tot ... 1.78 μB per formula unit
data_TlCoRh2
_symmetry_space_group_name_H-M 'I -4 m 2'
_symmetry_Int_Tables_number 119
_symmetry_space_group_name_Hall 'I -4 -2'
_cell_length_a 3.8827
_cell_length_b 3.8827
_cell_length_c 7.7071
_cell_angle_alpha 90.00
_cell_angle_beta 90.00
_cell_angle_gamma 90.00
loop_
_atom_site_label
_atom_site_type_symbol
_atom_site_fract_x
_atom_site_fract_y
_atom_site_fract_z
Tl1 Tl 0.0000 0.0000 0.0000
Co1 Co 0.0000 0.5000 0.7500
Rh1 Rh 0.0000 0.0000 0.5000
Rh2 Rh 0.0000 0.5000 0.2500



Record 4
# TlCoRh2 | Alexandria via LeMat-Bulk | PBEsol | optimized geometry
# Uncorrected energy ... -0.2332 Ha/atom
# DFT formation energy ... 122 kJ/mol of formula units
# M_tot ... 1.67 μB per formula unit
data_TlCoRh2
_symmetry_space_group_name_H-M 'P 4 m m'
_symmetry_Int_Tables_number 99
_cell_length_a 2.8420
_cell_length_b 2.8420
_cell_length_c 7.2377
_cell_angle_alpha 90.00
_cell_angle_beta 90.00
_cell_angle_gamma 90.00
loop_
_symmetry_equiv_pos_as_xyz
'x,y,z'
'-y,x,z'
'-x,-y,z'
'y,-x,z'
'-x,y,z'
'y,x,z'
'x,-y,z'
'-y,-x,z'
loop_
_atom_site_label
_atom_site_type_symbol
_atom_site_fract_x
_atom_site_fract_y
_atom_site_fract_z
Tl1 Tl 0.0000 0.0000 0.0000
Co1 Co 0.5000 0.5000 0.2660
Rh1 Rh 0.0000 0.0000 0.4743
Rh2 Rh 0.5000 0.5000 0.7188



Record 5
# TlCo2Rh | Alexandria via LeMat-Bulk | PBEsol | optimized geometry
# Excess energy over the best structure of this formula in the dataset ... 37 meV per atom
# Uncorrected energy ... -0.2273 Ha/atom
# DFT formation energy ... 145 kJ/mol of formula units
# M_tot ... 3.27 μB per formula unit
data_TlCo2Rh
_symmetry_space_group_name_H-M 'I 4/m m m'
_symmetry_Int_Tables_number 139
_symmetry_space_group_name_Hall '-I 4 2'
_cell_length_a 3.8174
_cell_length_b 3.8174
_cell_length_c 7.5699
_cell_angle_alpha 90.00
_cell_angle_beta 90.00
_cell_angle_gamma 90.00
loop_
_atom_site_label
_atom_site_type_symbol
_atom_site_fract_x
_atom_site_fract_y
_atom_site_fract_z
Tl1 Tl 0.0000 0.0000 0.0000
Co1 Co 0.0000 0.5000 0.2500
Rh1 Rh 0.0000 0.0000 0.5000



Record 6
# TlCoRh2 | Alexandria via LeMat-Bulk | PBEsol | optimized geometry
# Uncorrected energy ... -0.2314 Ha/atom
# DFT formation energy ... 141 kJ/mol of formula units
# M_tot ... 2.63 μB per formula unit
data_TlCoRh2
_symmetry_space_group_name_H-M 'F -4 3 m'
_symmetry_Int_Tables_number 216
_symmetry_space_group_name_Hall 'F -4 2 3'
_cell_length_a 6.1802
_cell_length_b 6.1802
_cell_length_c 6.1802
_cell_angle_alpha 90.00
_cell_angle_beta 90.00
_cell_angle_gamma 90.00
loop_
_atom_site_label
_atom_site_type_symbol
_atom_site_fract_x
_atom_site_fract_y
_atom_site_fract_z
Tl1 Tl 0.0000 0.0000 0.0000
Co1 Co 0.2500 0.2500 0.2500
Rh1 Rh 0.0000 0.0000 0.5000
Rh2 Rh 0.2500 0.2500 0.7500